Here is Zn2ReCl after structural relaxation from the Alexandria database. Energies are from PBEsol.

Output
**Energy relative to the elements, uncorrected**: 0.153 eV per atom
**Energy above the lowest structure with this stoichiometry**: 0 meV per atom
**V**: 15.717 Å³/atom
**Symmetry**: Pmmm, No. 47
**Magnetic moment**: 0.0 μB/cell

Cell: 2.803 2.919 7.683 Å, 90.00 90.00 90.00°
Atoms (fractional coordinates):
Zn 0.000 0.000 0.231
Zn 0.000 0.000 0.769
Re 0.500 0.500 0.000
Cl 0.500 0.000 0.500